Below is crystalline MnTlZnO4 at its relaxed geometry, with properties calculated at the GGA+U level.

Output
Uncorrected energy in eV/atom: -5.553
Total magnetization in Bohr magnetons per cell: 7.99
Calculated density in g/cm3: 7.1
D(E_F) in states/eV per cell: 1.15

POSCAR file:
```
MnTlZnO4
1.0
-3.203 3.235 4.363
3.203 -3.235 4.363
3.203 3.235 -4.363
Mn Tl Zn O
2 2 2 8
Cartesian
-1.602 1.617 2.182 Mn
1.602 1.617 2.182 Mn
0.000 0.000 0.000 Tl
0.000 3.235 0.000 Tl
3.203 1.617 -1.047 Zn
0.000 1.617 5.410 Zn
3.203 0.134 2.134 O
0.000 0.134 2.229 O
1.621 1.617 0.230 O
4.785 1.617 0.230 O
-1.582 1.617 4.133 O
1.582 1.617 4.133 O
3.203 3.100 2.134 O
0.000 3.100 2.229 O
```